The following is a DFT calculation (PBE) of an optimized crystal structure of TbAg3Cl7.

Cell and atoms, written as extended XYZ:
```
11
Lattice="6.178 1.021 4.191 -0.427 6.248 4.191 0.696 0.879 8.793" Properties=species:S:1:pos:R:3 pbc="T T T"
Cl 2.708 7.266 12.354
Ag 5.062 2.729 8.520
Cl 5.727 7.238 14.589
Ag 1.492 5.554 8.520
Cl 0.269 0.340 2.481
Cl 3.816 4.822 9.312
Cl 3.322 1.482 4.292
Cl 6.449 4.306 12.354
Tb 5.504 6.956 8.324
Ag 3.853 4.869 12.463
Cl 0.679 3.573 4.292
```

Output
Formation energy from raw total energies (eV/atom): -1.06

The following is a DFT calculation (PBE) of an optimized crystal structure of Tb2AgCl8.

Cell and atoms, written as extended XYZ:
```
11
Lattice="9.880 0.385 0.269 1.617 7.358 1.295 1.617 3.748 6.463" Properties=species:S:1:pos:R:3 pbc="T T T"
Cl 8.187 8.945 6.248
Cl 10.537 6.359 6.296
Cl 2.576 3.390 4.222
Tb 7.490 2.894 2.022
Cl 4.788 6.706 4.684
Cl 10.537 8.100 3.804
Cl 2.576 5.131 1.730
Ag 0.000 0.000 0.000
Tb 5.623 8.596 6.004
Cl 4.926 2.545 1.778
Cl 8.326 4.784 3.342
```

Output
Formation energy from raw total energies (eV/atom): -1.60

The following is a DFT calculation (PBE) of an optimized crystal structure of TbTlAg2Cl6.

Cell and atoms, written as extended XYZ:
```
10
Lattice="-3.765 -5.738 1.941 0.208 -5.917 -3.969 3.884 -6.045 2.802" Properties=species:S:1:pos:R:3 pbc="T T T"
Ag -0.138 -8.720 0.181
Cl 0.112 -8.394 -2.537
Ag 3.871 -6.040 2.790
Cl 1.787 -10.906 -0.085
Cl 2.406 -7.597 1.056
Cl -2.480 -10.157 0.160
Cl -1.226 -6.255 0.739
Tl -0.605 -12.911 -0.004
Cl 0.239 -9.733 2.893
Tb -1.070 -3.935 -0.596
```

Output
Formation energy from raw total energies (eV/atom): -1.29

The following is a DFT calculation (PBE) of an optimized crystal structure of Tc2AgCl.

Cell and atoms, written as extended XYZ:
```
4
Lattice="4.679 0.000 0.000 0.000 4.679 0.000 0.000 0.000 2.855" Properties=species:S:1:pos:R:3 pbc="T T T"
Cl 0.000 2.340 1.427
Ag 2.340 0.000 1.427
Tc 2.340 2.340 0.000
Tc 0.000 0.000 0.000
```

Output
Formation energy from raw total energies (eV/atom): 1.10
E above lowest polymorph (meV/atom): 969.1

The following is a DFT calculation (PBE) of an optimized crystal structure of TcAg2Cl2.

Cell and atoms, written as extended XYZ:
```
10
Lattice="-5.653 -3.258 3.852 0.719 -6.246 -4.228 2.359 -1.317 2.347" Properties=species:S:1:pos:R:3 pbc="T T T"
Ag -0.496 -2.722 -1.029
Tc -2.467 -4.752 -0.188
Cl -0.559 -2.798 1.720
Ag -4.438 -6.782 0.654
Cl 0.696 -5.404 -1.005
Ag -1.445 -6.599 -2.251
Ag -3.489 -2.905 1.876
Tc 0.000 0.000 0.000
Cl -2.016 -8.024 0.251
Cl -3.272 -5.417 2.976
```

Output
Formation energy from raw total energies (eV/atom): 0.64
E above lowest polymorph (meV/atom): 245.9

The following is a DFT calculation (PBE) of an optimized crystal structure of TcAgCl5.

Cell and atoms, written as extended XYZ:
```
14
Lattice="6.841 -0.026 -2.059 -1.232 6.729 -2.059 -0.637 -0.761 9.169" Properties=species:S:1:pos:R:3 pbc="T T T"
Cl 5.573 1.938 -2.256
Cl 0.485 -0.230 7.161
Cl 0.329 3.872 2.722
Cl 1.856 0.972 1.263
Cl 3.116 4.970 3.788
Cl 2.811 4.169 0.516
Ag -0.079 1.945 5.847
Cl 4.487 6.172 -2.110
Cl 4.643 2.070 2.328
Cl -0.601 4.004 7.307
Tc 0.000 0.000 0.000
Ag 5.051 3.997 -0.797
Cl 2.161 1.773 4.534
Tc 2.486 2.971 2.525
```

Output
Formation energy from raw total energies (eV/atom): -0.57

Calculated total energy readings, ordered: -0.126, -0.149, -0.135, -0.193, -0.122, -0.139 Ha/atom